Computed, not measured: a relaxed structure of Ba2YI at the GGA-PBE level of DFT.

```
Ba2YI
1.0
4.0394 0.0000 0.0000
2.0197 3.4982 0.0000
2.0197 1.1661 12.6599
Ba I Y
2 1 1
Direct
0.9041 0.9041 0.2877 Ba
0.0959 0.0959 0.7123 Ba
0.5000 0.5000 0.5000 I
0.0000 0.0000 0.0000 Y
```

## Properties
* crystal system: trigonal
* space-group type: No. 166
* calculated density: 4.553 g cm⁻³
* offset from the most stable computed form: 0 meV/atom
* total magnetization: 0.12 μB per formula unit
* formation energy without anion corrections: -227 meV per atom
* DOS at the Fermi energy: 5.35 states/eV/cell

***

Computed, not measured: a relaxed structure of B2TeH8 at the GGA-PBE level of DFT.

```
B2TeH8
1.0
-0.9530 4.2791 2.1425
-2.6945 -1.7709 -3.2182
-1.7391 -3.0495 5.3171
H B Te
8 2 1
Direct
0.3567 0.7134 0.9055 H
0.9097 0.2391 0.7784 H
0.2230 0.4459 0.5750 H
0.3293 0.2391 0.7784 H
0.0903 0.7609 0.2216 H
0.6707 0.7609 0.2216 H
0.6433 0.2866 0.0945 H
0.7770 0.5541 0.4250 H
0.7894 0.5788 0.2407 B
0.2106 0.4212 0.7593 B
0.0000 0.0000 0.0000 Te
```

## Properties
* uncorrected energy: -3.7218 eV/atom
* crystal system: monoclinic
* space-group type: No. 12
* calculated density: 2.279 g cm⁻³
* total magnetization: 0.00 μB per formula unit
* DOS at the Fermi energy: 1.21 states/eV/cell

***

Please write out number 2 again, unchanged.
Computed, not measured: a relaxed structure of B2TeH8 at the GGA-PBE level of DFT.

```
B2TeH8
1.0
-0.9530 4.2791 2.1425
-2.6945 -1.7709 -3.2182
-1.7391 -3.0495 5.3171
H B Te
8 2 1
Direct
0.3567 0.7134 0.9055 H
0.9097 0.2391 0.7784 H
0.2230 0.4459 0.5750 H
0.3293 0.2391 0.7784 H
0.0903 0.7609 0.2216 H
0.6707 0.7609 0.2216 H
0.6433 0.2866 0.0945 H
0.7770 0.5541 0.4250 H
0.7894 0.5788 0.2407 B
0.2106 0.4212 0.7593 B
0.0000 0.0000 0.0000 Te
```

## Properties
* uncorrected energy: -3.7218 eV/atom
* crystal system: monoclinic
* space-group type: No. 12
* calculated density: 2.279 g cm⁻³
* total magnetization: 0.00 μB per formula unit
* DOS at the Fermi energy: 1.21 states/eV/cell

***

Look up the calculated density of the second one.
2.279 g cm⁻³

***

Which of these has the highest total magnetization?
Ba2YI